! PBE-GGA TeAs2Pb, optimized geometry; values from VASP
! **Symmetry**: Pm, No. 6
! **ρ**: 7.07 g cm⁻³
! **ΔE to the lowest computed polymorph**: 35 meV per atom
! **Energy relative to the elements, uncorrected**: -23 meV per atom
&SYSTEM
  ibrav = 0, nat = 4, ntyp = 3
/
ATOMIC_SPECIES
Te 127.60 Te.upf
As 74.92 As.upf
Pb 207.20 Pb.upf
CELL_PARAMETERS angstrom
4.832 0.000 0.000
0.000 4.015 0.000
-2.253 0.000 5.869
ATOMIC_POSITIONS crystal
Te 0.000 0.000 0.000
As 0.059 0.000 0.584
As 0.409 0.500 0.653
Pb 0.512 0.500 0.208

=====

! PBE-GGA YSc2VGa, optimized geometry; values from VASP
! **Symmetry**: P4/mmm, No. 123
! **ρ**: 3.91 g cm⁻³
! **Formation enthalpy at 0 K**: 0.315 eV/atom
&SYSTEM
  ibrav = 0, nat = 5, ntyp = 4
/
ATOMIC_SPECIES
Y 88.91 Y.upf
Sc 44.96 Sc.upf
V 50.94 V.upf
Ga 69.72 Ga.upf
CELL_PARAMETERS angstrom
5.132 0.000 0.000
0.000 5.132 0.000
0.000 0.000 4.834
ATOMIC_POSITIONS crystal
Y 0.000 0.000 0.000
Sc 0.000 0.500 0.500
Sc 0.500 0.000 0.500
V 0.500 0.500 0.000
Ga 0.500 0.500 0.500

=====

! PBE-GGA DyYPd, optimized geometry; values from VASP
! **Symmetry**: C2/m, No. 12
! **ρ**: 7.68 g cm⁻³
! **ΔE to the lowest computed polymorph**: 7 meV per atom
! **Formation enthalpy at 0 K**: -0.550 eV/atom
&SYSTEM
  ibrav = 0, nat = 6, ntyp = 3
/
ATOMIC_SPECIES
Dy 162.50 Dy.upf
Y 88.91 Y.upf
Pd 106.42 Pd.upf
CELL_PARAMETERS angstrom
6.382 -1.776 0.000
6.382 1.776 0.000
-1.974 0.000 6.826
ATOMIC_POSITIONS crystal
Dy 0.138 0.138 0.070
Dy 0.862 0.862 0.930
Y 0.137 0.137 0.568
Y 0.863 0.863 0.432
Pd 0.499 0.499 0.242
Pd 0.501 0.501 0.758

=====

no.,size of the total moment (μB/atom)
1,0.000
2,0.594
3,0.000